{
  "formula": "GaMo2P",
  "functional": "GGA-PBE",
  "state": "relaxed",
  "final_energy_ha_per_atom": -0.267,
  "ef_ev_per_atom": 0.25,
  "polymorph_energy_mev_per_atom": 347,
  "spacegroup": "I-42d, No. 122",
  "lattice_angstrom": [[-1.886, 1.886, 9.050], [1.886, -1.886, 9.050], [1.886, 1.886, -9.050]],
  "species": ["Ga", "Ga", "Mo", "Mo", "Mo", "Mo", "P", "P"],
  "frac_coords": [[0.000, 0.000, 0.000], [0.750, 0.250, 0.500], [0.133, 0.625, 0.008], [0.375, 0.383, 0.508], [0.617, 0.125, 0.992], [0.875, 0.867, 0.492], [0.250, 0.750, 0.500], [0.500, 0.500, 0.000]]
}